Material: CrPbW2
Method: DFT, PBE-GGA
State: relaxed

Unit cell a=6.483 b=6.483 c=6.483 alpha=90.00 beta=90.00 gamma=90.00
Fractional coordinates of all 16 atoms:
Cr (0.000, 0.000, 0.000)
Cr (0.000, 0.500, 0.500)
Cr (0.500, 0.000, 0.500)
Cr (0.500, 0.500, 0.000)
Pb (0.250, 0.250, 0.250)
Pb (0.250, 0.750, 0.750)
Pb (0.750, 0.250, 0.750)
Pb (0.750, 0.750, 0.250)
W (0.000, 0.000, 0.500)
W (0.000, 0.500, 0.000)
W (0.250, 0.250, 0.750)
W (0.250, 0.750, 0.250)
W (0.500, 0.000, 0.000)
W (0.500, 0.500, 0.500)
W (0.750, 0.250, 0.250)
W (0.750, 0.750, 0.750)

Summary:
Space-group type ... F-43m (216)
Formation energy from the elements ... 0.82 eV per atom
Magnetization ... 7.7 μB/cell
V ... 272.5 Å³/cell

---

Material: CrPbW2
Method: DFT, PBE-GGA
State: relaxed

Unit cell a=3.102 b=3.892 c=5.931 alpha=90.00 beta=90.04 gamma=90.00
Fractional coordinates of all 4 atoms:
Cr (0.000, 0.000, 0.000)
Pb (0.499, 0.500, 0.699)
W (0.499, 0.500, 0.185)
W (0.998, 0.000, 0.383)

Summary:
Space-group type ... Pm (6)
Formation energy from the elements ... 0.69 eV per atom
Magnetization ... 0.0 μB/cell
V ... 71.6 Å³/cell

---

Material: CrPb2W
Method: DFT, PBE-GGA
State: relaxed

Unit cell a=3.165 b=3.165 c=31.624 alpha=90.00 beta=90.00 gamma=120.00
Fractional coordinates of all 12 atoms:
Cr (0.000, 0.000, 0.000)
Cr (0.333, 0.667, 0.667)
Cr (0.667, 0.333, 0.333)
Pb (0.000, 0.000, 0.252)
Pb (0.000, 0.000, 0.469)
Pb (0.333, 0.667, 0.136)
Pb (0.333, 0.667, 0.919)
Pb (0.667, 0.333, 0.586)
Pb (0.667, 0.333, 0.803)
W (0.000, 0.000, 0.716)
W (0.333, 0.667, 0.383)
W (0.667, 0.333, 0.050)

Summary:
Space-group type ... R3m (160)
Formation energy from the elements ... 0.59 eV per atom
Magnetization ... 0.0 μB/cell
V ... 274.3 Å³/cell

---

Material: CrPbW2
Method: DFT, PBE-GGA
State: relaxed

Unit cell a=2.940 b=4.099 c=5.827 alpha=90.00 beta=95.43 gamma=90.00
Fractional coordinates of all 4 atoms:
Cr (0.000, 0.000, 0.000)
Pb (0.000, 0.000, 0.500)
W (0.388, 0.500, 0.200)
W (0.612, 0.500, 0.800)

Summary:
Space-group type ... P2/m (10)
Formation energy from the elements ... 0.75 eV per atom
Magnetization ... 0.3 μB/cell
V ... 69.9 Å³/cell

---

Material: CrPbW2
Method: DFT, PBE-GGA
State: relaxed

Unit cell a=9.234 b=3.166 c=4.914 alpha=90.00 beta=105.24 gamma=90.00
Fractional coordinates of all 8 atoms:
Cr (0.000, 0.000, 0.000)
Cr (0.500, 0.500, 0.000)
Pb (0.239, 0.000, 0.711)
Pb (0.739, 0.500, 0.711)
W (0.220, 0.500, 0.192)
W (0.467, 0.000, 0.407)
W (0.720, 0.000, 0.192)
W (0.967, 0.500, 0.407)

Summary:
Space-group type ... Cm (8)
Formation energy from the elements ... 0.81 eV per atom
Magnetization ... 0.0 μB/cell
V ... 138.6 Å³/cell

---

Material: Y2CrPbW
Method: DFT, PBE-GGA
State: relaxed

Unit cell a=5.476 b=5.476 c=4.653 alpha=90.00 beta=90.00 gamma=90.00
Fractional coordinates of all 5 atoms:
Y (0.000, 0.500, 0.000)
Y (0.500, 0.000, 0.000)
Cr (0.000, 0.000, 0.500)
Pb (0.500, 0.500, 0.500)
W (0.000, 0.000, 0.000)

Summary:
Space-group type ... P4/mmm (123)
Formation energy from the elements ... 0.66 eV per atom
Magnetization ... 2.3 μB/cell
V ... 139.5 Å³/cell

---

Material: Y3CrPb
Method: DFT, PBE-GGA
State: relaxed

Unit cell a=5.200 b=5.200 c=5.200 alpha=90.00 beta=90.00 gamma=90.00
Fractional coordinates of all 5 atoms:
Y (0.000, 0.000, 0.500)
Y (0.000, 0.500, 0.000)
Y (0.500, 0.000, 0.000)
Cr (0.000, 0.000, 0.000)
Pb (0.500, 0.500, 0.500)

Summary:
Space-group type ... Pm-3m (221)
Formation energy from the elements ... 0.25 eV per atom
Magnetization ... 0.0 μB/cell
V ... 140.6 Å³/cell

---

Material: YCrPb2
Method: DFT, PBE-GGA
State: relaxed

Unit cell a=3.472 b=3.472 c=8.340 alpha=90.00 beta=90.00 gamma=90.00
Fractional coordinates of all 4 atoms:
Y (0.000, 0.000, 0.000)
Cr (0.000, 0.000, 0.500)
Pb (0.500, 0.500, 0.276)
Pb (0.500, 0.500, 0.724)

Summary:
Space-group type ... P4/mmm (123)
Formation energy from the elements ... 0.11 eV per atom
Magnetization ... 3.9 μB/cell
V ... 100.5 Å³/cell

---

Material: YCrPb2
Method: DFT, PBE-GGA
State: relaxed

Unit cell a=3.798 b=5.714 c=9.469 alpha=90.00 beta=90.00 gamma=90.00
Fractional coordinates of all 8 atoms:
Y (0.000, 0.000, 0.000)
Y (0.500, 0.500, 0.500)
Cr (0.000, 0.000, 0.500)
Cr (0.500, 0.500, 0.000)
Pb (0.000, 0.500, 0.229)
Pb (0.000, 0.500, 0.771)
Pb (0.500, 0.000, 0.271)
Pb (0.500, 0.000, 0.729)

Summary:
Space-group type ... Immm (71)
Formation energy from the elements ... 0.12 eV per atom
Magnetization ... 6.2 μB/cell
V ... 205.5 Å³/cell

---

Material: YCrPb2
Method: DFT, PBE-GGA
State: relaxed

Unit cell a=3.587 b=3.587 c=27.956 alpha=90.00 beta=90.00 gamma=120.00
Fractional coordinates of all 12 atoms:
Y (0.000, 0.000, 0.000)
Y (0.333, 0.667, 0.667)
Y (0.667, 0.333, 0.333)
Cr (0.000, 0.000, 0.500)
Cr (0.333, 0.667, 0.167)
Cr (0.667, 0.333, 0.833)
Pb (0.000, 0.000, 0.241)
Pb (0.000, 0.000, 0.759)
Pb (0.333, 0.667, 0.426)
Pb (0.333, 0.667, 0.908)
Pb (0.667, 0.333, 0.092)
Pb (0.667, 0.333, 0.574)

Summary:
Space-group type ... R-3m (166)
Formation energy from the elements ... 0.18 eV per atom
Magnetization ... 10.2 μB/cell
V ... 311.5 Å³/cell

---

Material: YCrPb2
Method: DFT, PBE-GGA
State: relaxed

Unit cell a=4.427 b=4.432 c=10.355 alpha=90.00 beta=90.00 gamma=90.00
Fractional coordinates of all 8 atoms:
Y (0.000, 0.000, 0.000)
Y (0.500, 0.500, 0.500)
Cr (0.000, 0.500, 0.250)
Cr (0.500, 0.000, 0.750)
Pb (0.000, 0.000, 0.500)
Pb (0.000, 0.500, 0.750)
Pb (0.500, 0.000, 0.250)
Pb (0.500, 0.500, 0.000)

Summary:
Space-group type ... Imm2 (44)
Formation energy from the elements ... 0.04 eV per atom
Magnetization ... 7.6 μB/cell
V ... 203.2 Å³/cell

---

Material: YCrPb2
Method: DFT, PBE-GGA
State: relaxed

Unit cell a=3.989 b=3.989 c=6.566 alpha=90.00 beta=90.00 gamma=90.00
Fractional coordinates of all 4 atoms:
Y (0.000, 0.000, 0.000)
Cr (0.500, 0.500, 0.242)
Pb (0.000, 0.000, 0.471)
Pb (0.500, 0.500, 0.749)

Summary:
Space-group type ... P4mm (99)
Formation energy from the elements ... 0.17 eV per atom
Magnetization ... 3.8 μB/cell
V ... 104.5 Å³/cell

---

Material: YCrPb2
Method: DFT, PBE-GGA
State: relaxed

Unit cell a=6.944 b=8.372 c=3.565 alpha=90.00 beta=90.00 gamma=90.00
Fractional coordinates of all 8 atoms:
Y (0.000, 0.000, 0.000)
Y (0.500, 0.500, 0.000)
Cr (0.000, 0.500, 0.000)
Cr (0.500, 0.000, 0.000)
Pb (0.250, 0.250, 0.500)
Pb (0.250, 0.750, 0.500)
Pb (0.750, 0.250, 0.500)
Pb (0.750, 0.750, 0.500)

Summary:
Space-group type ... Cmmm (65)
Formation energy from the elements ... 0.09 eV per atom
Magnetization ... 9.0 μB/cell
V ... 207.3 Å³/cell

---

Material: YCrPb2
Method: DFT, PBE-GGA
State: relaxed

Unit cell a=3.529 b=3.529 c=30.454 alpha=90.00 beta=90.00 gamma=120.00
Fractional coordinates of all 12 atoms:
Y (0.000, 0.000, 0.000)
Y (0.333, 0.667, 0.667)
Y (0.667, 0.333, 0.333)
Cr (0.000, 0.000, 0.742)
Cr (0.333, 0.667, 0.409)
Cr (0.667, 0.333, 0.075)
Pb (0.000, 0.000, 0.243)
Pb (0.000, 0.000, 0.483)
Pb (0.333, 0.667, 0.149)
Pb (0.333, 0.667, 0.909)
Pb (0.667, 0.333, 0.576)
Pb (0.667, 0.333, 0.816)

Summary:
Space-group type ... R3m (160)
Formation energy from the elements ... 0.33 eV per atom
Magnetization ... 10.5 μB/cell
V ... 328.5 Å³/cell

---

Material: YCr3Pb
Method: DFT, PBE-GGA
State: relaxed

Unit cell a=5.161 b=5.161 c=5.161 alpha=90.00 beta=90.00 gamma=90.00
Fractional coordinates of all 5 atoms:
Y (0.000, 0.000, 0.000)
Cr (0.000, 0.500, 0.500)
Cr (0.500, 0.000, 0.500)
Cr (0.500, 0.500, 0.000)
Pb (0.500, 0.500, 0.500)

Summary:
Space-group type ... Pm-3m (221)
Formation energy from the elements ... 1.27 eV per atom
Magnetization ... 12.0 μB/cell
V ... 137.5 Å³/cell